# LaSn3Rh3, optimized geometry, DFT GGA-PBE
data_LaSn3Rh3
_space_group_name_H-M_alt 'P 1'
_space_group_IT_number 1
_cell_length_a 7.170
_cell_length_b 7.170
_cell_length_c 7.170
_cell_angle_alpha 90.00
_cell_angle_beta 90.00
_cell_angle_gamma 90.00
loop_
_space_group_symop_operation_xyz
'x,y,z'
loop_
_atom_site_label
_atom_site_type_symbol
_atom_site_fract_x
_atom_site_fract_y
_atom_site_fract_z
La1 La 0.000 0.000 0.000
La2 La 0.500 0.500 0.500
Sn1 Sn 0.000 0.250 0.500
Sn2 Sn 0.000 0.750 0.500
Sn3 Sn 0.250 0.500 0.000
Sn4 Sn 0.500 0.000 0.250
Sn5 Sn 0.500 0.000 0.750
Sn6 Sn 0.750 0.500 0.000
Rh1 Rh 0.000 0.500 0.250
Rh2 Rh 0.000 0.500 0.750
Rh3 Rh 0.250 0.000 0.500
Rh4 Rh 0.500 0.250 0.000
Rh5 Rh 0.500 0.750 0.000
Rh6 Rh 0.750 0.000 0.500
# Formation energy in eV per atom: -0.18
# Total magnetic moment in μB/atom: 0.024
# Space-group type: No. 223
# DOS(E_F) in states/eV per atom: 0.947
# Calculated density in Mg/m³: 7.2